A geometry-optimized RuRh structure, computed with PBE.

E_tot: -7.72 eV per atom
size of the total moment: 0.00 μB per cell
DFT formation energy: 0.60 eV/atom

Lattice parameters (Å, degrees): 5.996 5.888 5.137 65.48 63.30 51.21
Atoms (fractional coordinates):
Ru1 0.039 0.711 0.711
Ru2 0.289 0.961 0.961
Ru3 0.711 0.039 0.039
Ru4 0.961 0.289 0.289
Rh1 0.207 0.543 0.207
Rh2 0.457 0.793 0.457
Rh3 0.543 0.207 0.543
Rh4 0.793 0.457 0.793

***

A geometry-optimized BaTl2I4 structure, computed with PBE.

E_tot: -2.95 eV per atom
size of the total moment: 0.00 μB per cell
formation energy without anion corrections: -1118 meV per atom

Lattice parameters (Å, degrees): 10.367 10.367 14.616 90.00 90.00 90.00
Atoms (fractional coordinates):
Ba1 0.000 0.262 0.000
Ba2 0.000 0.738 0.500
Ba3 0.262 0.000 0.750
Ba4 0.738 0.000 0.250
Tl1 0.245 0.245 0.375
Tl2 0.245 0.755 0.125
Tl3 0.264 0.500 0.750
Tl4 0.500 0.264 0.000
Tl5 0.500 0.736 0.500
Tl6 0.736 0.500 0.250
Tl7 0.755 0.245 0.625
Tl8 0.755 0.755 0.875
I1 0.027 0.243 0.762
I2 0.027 0.757 0.738
I3 0.243 0.027 0.988
I4 0.243 0.973 0.512
I5 0.245 0.486 0.993
I6 0.245 0.514 0.507
I7 0.486 0.245 0.757
I8 0.486 0.755 0.743
I9 0.514 0.245 0.243
I10 0.514 0.755 0.257
I11 0.755 0.486 0.007
I12 0.755 0.514 0.493
I13 0.757 0.027 0.012
I14 0.757 0.973 0.488
I15 0.973 0.243 0.238
I16 0.973 0.757 0.262

***

A geometry-optimized Y2HgCl structure, computed with PBE.

E_tot: -4.58 eV per atom
size of the total moment: 0.00 μB per cell
formation energy without anion corrections: -812 meV per atom
ΔE to the lowest computed polymorph: 91 meV per atom

Lattice parameters (Å, degrees): 3.664 3.664 26.564 90.00 90.00 120.00
Atoms (fractional coordinates):
Y1 0.000 0.000 0.247
Y2 0.000 0.000 0.753
Y3 0.333 0.667 0.420
Y4 0.333 0.667 0.913
Y5 0.667 0.333 0.087
Y6 0.667 0.333 0.580
Hg1 0.000 0.000 0.000
Hg2 0.333 0.667 0.667
Hg3 0.667 0.333 0.333
Cl1 0.000 0.000 0.500
Cl2 0.333 0.667 0.167
Cl3 0.667 0.333 0.833

***

A geometry-optimized OsRu8 structure, computed with PBE.

E_tot: -9.39 eV per atom
size of the total moment: 0.00 μB per cell
DFT formation energy: 0.11 eV/atom

Lattice parameters (Å, degrees): 6.050 6.050 6.050 95.72 95.72 143.21
Atoms (fractional coordinates):
Os1 0.000 0.000 0.000
Ru1 0.000 0.333 0.333
Ru2 0.000 0.667 0.667
Ru3 0.333 0.000 0.333
Ru4 0.334 0.334 0.668
Ru5 0.334 0.666 0.000
Ru6 0.666 0.334 0.000
Ru7 0.666 0.666 0.332
Ru8 0.667 0.000 0.667

***

A geometry-optimized La2RhAu structure, computed with PBE.

E_tot: -5.83 eV per atom
size of the total moment: 0.00 μB per cell
DFT formation energy: -0.71 eV/atom

Lattice parameters (Å, degrees): 5.199 5.199 3.715 90.00 90.00 90.00
Atoms (fractional coordinates):
La1 0.000 0.500 0.000
La2 0.500 0.000 0.000
Rh1 0.000 0.000 0.500
Au1 0.500 0.500 0.500

***

A geometry-optimized NdSm4Dy3Te8 structure, computed with PBE.

E_tot: -5.26 eV per atom
size of the total moment: 0.00 μB per cell
formation energy without anion corrections: -1344 meV per atom

Lattice parameters (Å, degrees): 8.841 8.841 8.841 59.94 59.94 59.94
Atoms (fractional coordinates):
Nd1 0.000 0.000 0.000
Sm1 0.000 0.000 0.500
Sm2 0.000 0.500 0.000
Sm3 0.500 0.000 0.000
Sm4 0.500 0.500 0.500
Dy1 0.000 0.500 0.500
Dy2 0.500 0.000 0.500
Dy3 0.500 0.500 0.000
Te1 0.251 0.251 0.743
Te2 0.251 0.743 0.251
Te3 0.253 0.253 0.253
Te4 0.257 0.749 0.749
Te5 0.743 0.251 0.251
Te6 0.747 0.747 0.747
Te7 0.749 0.257 0.749
Te8 0.749 0.749 0.257

***

A geometry-optimized AcTb2Pm9 structure, computed with PBE.

E_tot: -4.65 eV per atom
size of the total moment: 0.00 μB per cell
DFT formation energy: 0.02 eV/atom

Lattice parameters (Å, degrees): 5.174 5.174 15.554 90.00 90.00 90.00
Atoms (fractional coordinates):
Ac1 0.000 0.000 0.000
Tb1 0.000 0.000 0.336
Tb2 0.000 0.000 0.664
Pm1 0.000 0.500 0.173
Pm2 0.000 0.500 0.500
Pm3 0.000 0.500 0.827
Pm4 0.500 0.000 0.173
Pm5 0.500 0.000 0.500
Pm6 0.500 0.000 0.827
Pm7 0.500 0.500 0.000
Pm8 0.500 0.500 0.337
Pm9 0.500 0.500 0.663

***

A geometry-optimized AcPmPrSi structure, computed with PBE.

E_tot: -4.71 eV per atom
size of the total moment: 0.00 μB per cell
formation energy without anion corrections: 58 meV per atom

Lattice parameters (Å, degrees): 7.785 7.785 7.785 90.00 90.00 90.00
Atoms (fractional coordinates):
Ac1 0.000 0.000 0.000
Ac2 0.000 0.500 0.500
Ac3 0.500 0.000 0.500
Ac4 0.500 0.500 0.000
Pm1 0.250 0.250 0.250
Pm2 0.250 0.750 0.750
Pm3 0.750 0.250 0.750
Pm4 0.750 0.750 0.250
Pr1 0.250 0.250 0.750
Pr2 0.250 0.750 0.250
Pr3 0.750 0.250 0.250
Pr4 0.750 0.750 0.750
Si1 0.000 0.000 0.500
Si2 0.000 0.500 0.000
Si3 0.500 0.000 0.000
Si4 0.500 0.500 0.500

***

Copy entry 6 word for word.
A geometry-optimized NdSm4Dy3Te8 structure, computed with PBE.

E_tot: -5.26 eV per atom
size of the total moment: 0.00 μB per cell
formation energy without anion corrections: -1344 meV per atom

Lattice parameters (Å, degrees): 8.841 8.841 8.841 59.94 59.94 59.94
Atoms (fractional coordinates):
Nd1 0.000 0.000 0.000
Sm1 0.000 0.000 0.500
Sm2 0.000 0.500 0.000
Sm3 0.500 0.000 0.000
Sm4 0.500 0.500 0.500
Dy1 0.000 0.500 0.500
Dy2 0.500 0.000 0.500
Dy3 0.500 0.500 0.000
Te1 0.251 0.251 0.743
Te2 0.251 0.743 0.251
Te3 0.253 0.253 0.253
Te4 0.257 0.749 0.749
Te5 0.743 0.251 0.251
Te6 0.747 0.747 0.747
Te7 0.749 0.257 0.749
Te8 0.749 0.749 0.257

***

Question: The lowest E_tot belongs to which entry?
Answer: OsRu8